1.
The following is a DFT calculation (PBE-GGA) of a relaxed structure of Zr3Zn3Ir2Pt.

a b c (Å): 7.290 7.290 3.393
angles (deg): 90.00 90.00 120.00
Atoms (fractional coordinates):
Ir 0.667 0.333 0.000
Ir 0.333 0.667 0.000
Pt 0.000 0.000 0.500
Zn 0.270 0.000 0.000
Zn 0.000 0.270 0.000
Zn 0.730 0.730 0.000
Zr 0.601 0.000 0.500
Zr 0.399 0.399 0.500
Zr 0.000 0.601 0.500

Results
The space-group type is No. 189. As for the crystal system: hexagonal. As for the energy of formation: -0.71 eV per atom.

2.
The following is a DFT calculation (PBE-GGA) of a relaxed structure of ZrIrPt2.

a b c (Å): 4.561 4.561 4.561
angles (deg): 60.00 60.00 60.00
Atoms (fractional coordinates):
Ir 0.250 0.250 0.250
Pt 0.000 0.000 0.000
Pt 0.750 0.750 0.750
Zr 0.500 0.500 0.500

Results
The space-group type is No. 216. As for the crystal system: cubic. As for the energy of formation: -0.49 eV per atom.

3.
The following is a DFT calculation (PBE-GGA) of a relaxed structure of PuIr.

a b c (Å): 4.283 4.283 4.283
angles (deg): 60.00 60.00 60.00
Atoms (fractional coordinates):
Ir 0.000 0.000 0.000
Pu 0.250 0.250 0.250

Results
The space-group type is No. 216. As for the crystal system: cubic. As for the energy of formation: 0.30 eV per atom.

4.
The following is a DFT calculation (PBE-GGA) of a relaxed structure of PuIr.

a b c (Å): 2.884 2.884 5.016
angles (deg): 90.00 90.00 120.00
Atoms (fractional coordinates):
Ir 0.667 0.333 0.750
Pu 0.333 0.667 0.250

Results
The space-group type is No. 187. As for the crystal system: hexagonal. As for the energy of formation: -0.14 eV per atom.

5.
The following is a DFT calculation (PBE-GGA) of a relaxed structure of Pu5Ir4.

a b c (Å): 7.218 14.479 7.471
angles (deg): 90.00 90.00 90.00
Atoms (fractional coordinates):
Ir 0.307 0.037 0.037
Ir 0.307 0.463 0.037
Ir 0.951 0.250 0.105
Ir 0.313 0.750 0.151
Ir 0.813 0.750 0.349
Ir 0.451 0.250 0.395
Ir 0.807 0.037 0.463
Ir 0.807 0.463 0.463
Ir 0.193 0.537 0.537
Ir 0.193 0.963 0.537
Ir 0.549 0.750 0.605
Ir 0.187 0.250 0.651
Ir 0.687 0.250 0.849
Ir 0.049 0.750 0.895
Ir 0.693 0.537 0.963
Ir 0.693 0.963 0.963
Pu 0.679 0.750 0.005
Pu 0.645 0.121 0.167
Pu 0.645 0.379 0.167
Pu 0.002 0.593 0.179
Pu 0.002 0.907 0.179
Pu 0.502 0.593 0.321
Pu 0.502 0.907 0.321
Pu 0.145 0.121 0.333
Pu 0.145 0.379 0.333
Pu 0.179 0.750 0.495
Pu 0.821 0.250 0.505
Pu 0.855 0.621 0.667
Pu 0.855 0.879 0.667
Pu 0.498 0.093 0.679
Pu 0.498 0.407 0.679
Pu 0.998 0.093 0.821
Pu 0.998 0.407 0.821
Pu 0.355 0.621 0.833
Pu 0.355 0.879 0.833
Pu 0.321 0.250 0.995

Results
The space-group type is No. 62. As for the crystal system: orthorhombic. As for the energy of formation: -0.60 eV per atom.

6.
The following is a DFT calculation (PBE-GGA) of a relaxed structure of Pu2Si2Ir.

a b c (Å): 6.367 6.367 4.637
angles (deg): 90.00 90.00 90.00
Atoms (fractional coordinates):
Ir 0.000 0.000 0.500
Ir 0.500 0.500 0.500
Pu 0.329 0.171 0.000
Pu 0.829 0.329 0.000
Pu 0.171 0.671 0.000
Pu 0.671 0.829 0.000
Si 0.634 0.134 0.500
Si 0.134 0.366 0.500
Si 0.866 0.634 0.500
Si 0.366 0.866 0.500

Results
The space-group type is No. 127. As for the crystal system: tetragonal. As for the total energy: -10.3097 eV/atom.

7.
The following is a DFT calculation (PBE-GGA) of a relaxed structure of PuThIr.

a b c (Å): 4.805 4.805 4.805
angles (deg): 60.00 60.00 60.00
Atoms (fractional coordinates):
Ir 0.000 0.000 0.000
Pu 0.750 0.750 0.750
Th 0.250 0.250 0.250

Results
The space-group type is No. 216. As for the crystal system: cubic. As for the energy of formation: -0.44 eV per atom. The calculation puts the energy above the lowest structure with this stoichiometry at 0.0 meV/atom.

8.
The following is a DFT calculation (PBE-GGA) of a relaxed structure of PuThIr4.

a b c (Å): 5.379 5.379 5.379
angles (deg): 60.00 60.00 60.00
Atoms (fractional coordinates):
Ir 0.374 0.374 0.374
Ir 0.877 0.374 0.374
Ir 0.374 0.877 0.374
Ir 0.374 0.374 0.877
Pu 0.000 0.000 0.000
Th 0.750 0.750 0.750

Results
The space-group type is No. 216. As for the crystal system: cubic. As for the energy of formation: -0.44 eV per atom.